Version i
VASP calculation (PBE) on crystalline Sc3GaMo at its relaxed geometry.

a b c (Å): 4.9448 4.9448 4.9448
angles (deg): 90.00 90.00 90.00
Fractional coordinates of all 5 atoms:
Sc (0.0000, 0.5000, 0.0000)
Sc (0.0000, 0.0000, 0.5000)
Sc (0.5000, 0.0000, 0.0000)
Mo (0.5000, 0.5000, 0.5000)
Ga (0.0000, 0.0000, 0.0000)

Output
Its space-group type is No. 221. For the magnetic moment, the calculation gives 0.0 μB/f.u.


Version ii
VASP calculation (PBE) on crystalline Sc3GaMo at its relaxed geometry.

a b c (Å): 5.0128 5.0128 5.0128
angles (deg): 90.00 90.00 90.00
Fractional coordinates of all 5 atoms:
Sc (0.0000, 0.5000, 0.0000)
Sc (0.0000, 0.0000, 0.5000)
Sc (0.5000, 0.0000, 0.0000)
Mo (0.0000, 0.0000, 0.0000)
Ga (0.5000, 0.5000, 0.5000)

Output
Its space-group type is No. 221. For the magnetic moment, the calculation gives 0.0 μB/f.u.


What should be chosen as the least stable of them? Choose version i.


Version i
VASP calculation (PBE) on crystalline ScGaMo3 at its relaxed geometry.

a b c (Å): 4.6286 4.6286 4.6286
angles (deg): 90.00 90.00 90.00
Fractional coordinates of all 5 atoms:
Sc (0.0000, 0.0000, 0.0000)
Mo (0.0000, 0.5000, 0.0000)
Mo (0.0000, 0.0000, 0.5000)
Mo (0.5000, 0.0000, 0.0000)
Ga (0.5000, 0.5000, 0.5000)

Output
Its space-group type is No. 221. For the magnetic moment, the calculation gives 0.0 μB/f.u.


Version ii
VASP calculation (PBE) on crystalline ScGaMo3 at its relaxed geometry.

a b c (Å): 4.6481 4.6481 4.6481
angles (deg): 90.00 90.00 90.00
Fractional coordinates of all 5 atoms:
Sc (0.5000, 0.5000, 0.5000)
Mo (0.0000, 0.5000, 0.0000)
Mo (0.0000, 0.0000, 0.5000)
Mo (0.5000, 0.0000, 0.0000)
Ga (0.0000, 0.0000, 0.0000)

Output
Its space-group type is No. 221. For the magnetic moment, the calculation gives 0.0 μB/f.u.


What should be chosen as the least stable of them? Choose version i.


Version i
VASP calculation (PBE) on crystalline ScGa4Mo at its relaxed geometry.

a b c (Å): 4.6977 5.2155 9.3324
angles (deg): 77.42 89.96 116.74
Fractional coordinates of all 12 atoms:
Sc (0.2499, 0.0000, 0.2500)
Sc (0.7501, 0.0000, 0.7500)
Ga (0.9644, 0.4292, 0.2027)
Ga (0.5353, 0.5708, 0.2973)
Ga (0.0356, 0.5708, 0.7973)
Ga (0.4647, 0.4292, 0.7027)
Ga (0.2974, 0.0944, 0.5355)
Ga (0.2026, 0.9056, 0.9645)
Ga (0.7026, 0.9056, 0.4645)
Ga (0.7974, 0.0944, 0.0355)
Mo (0.5000, 0.5000, 0.0000)
Mo (0.0000, 0.5000, 0.5000)

Output
Its space-group type is No. 12. For the magnetic moment, the calculation gives 0.0 μB/f.u.


Version ii
VASP calculation (PBE) on crystalline ScGa4Mo at its relaxed geometry.

a b c (Å): 5.1423 5.1423 5.1423
angles (deg): 60.00 60.00 60.00
Fractional coordinates of all 6 atoms:
Sc (0.2500, 0.2500, 0.2500)
Mo (0.0000, 0.0000, 0.0000)
Ga (0.6248, 0.6248, 0.1256)
Ga (0.6248, 0.1256, 0.6248)
Ga (0.6248, 0.6248, 0.6248)
Ga (0.1256, 0.6248, 0.6248)

Output
Its space-group type is No. 216. For the magnetic moment, the calculation gives 0.0 μB/f.u.


What should be chosen as the least stable of them? Choose version ii.


Version i
VASP calculation (PBE) on crystalline GaMo4Se8 at its relaxed geometry.

a b c (Å): 8.3877 8.3877 7.2605
angles (deg): 92.13 92.13 49.57
Fractional coordinates of all 13 atoms:
Ga (0.1168, 0.1168, 0.1656)
Mo (0.1401, 0.1401, 0.7761)
Mo (0.9201, 0.9201, 0.3699)
Mo (0.7945, 0.2740, 0.8510)
Mo (0.2740, 0.7945, 0.8510)
Se (0.7822, 0.7822, 0.2518)
Se (0.1921, 0.1921, 0.4674)
Se (0.2542, 0.7443, 0.1832)
Se (0.7443, 0.2542, 0.1832)
Se (0.6333, 0.6333, 0.7796)
Se (0.2586, 0.2586, 0.0087)
Se (0.1549, 0.6777, 0.6278)
Se (0.6777, 0.1549, 0.6278)

Output
Its space-group type is No. 8. For the magnetic moment, the calculation gives 0.3 μB/f.u.


Version ii
VASP calculation (PBE) on crystalline GaMo4Se8 at its relaxed geometry.

a b c (Å): 7.2371 7.2371 7.2371
angles (deg): 60.84 60.84 60.84
Fractional coordinates of all 13 atoms:
Ga (0.9996, 0.9996, 0.9996)
Mo (0.6010, 0.1953, 0.6010)
Mo (0.1953, 0.6010, 0.6010)
Mo (0.5940, 0.5940, 0.5940)
Mo (0.6010, 0.6010, 0.1953)
Se (0.8596, 0.8596, 0.4099)
Se (0.9073, 0.3594, 0.3594)
Se (0.4099, 0.8596, 0.8596)
Se (0.8596, 0.4099, 0.8596)
Se (0.3647, 0.3647, 0.3647)
Se (0.8606, 0.8606, 0.8606)
Se (0.3594, 0.9073, 0.3594)
Se (0.3594, 0.3594, 0.9073)

Output
Its space-group type is No. 160. For the magnetic moment, the calculation gives 1.0 μB/f.u.


What should be chosen as the least stable of them? Choose version i.


Version i
VASP calculation (PBE) on crystalline GaMoSe3 at its relaxed geometry.

a b c (Å): 4.9880 4.9880 4.9880
angles (deg): 90.00 90.00 90.00
Fractional coordinates of all 5 atoms:
Mo (0.0000, 0.0000, 0.0000)
Ga (0.5000, 0.5000, 0.5000)
Se (0.0000, 0.5000, 0.0000)
Se (0.0000, 0.0000, 0.5000)
Se (0.5000, 0.0000, 0.0000)

Output
Its space-group type is No. 221. For the magnetic moment, the calculation gives 0.0 μB/f.u.


Version ii
VASP calculation (PBE) on crystalline GaMoSe3 at its relaxed geometry.

a b c (Å): 4.9154 4.9154 4.9154
angles (deg): 90.00 90.00 90.00
Fractional coordinates of all 5 atoms:
Mo (0.5000, 0.5000, 0.5000)
Ga (0.0000, 0.0000, 0.0000)
Se (0.0000, 0.5000, 0.0000)
Se (0.0000, 0.0000, 0.5000)
Se (0.5000, 0.0000, 0.0000)

Output
Its space-group type is No. 221. For the magnetic moment, the calculation gives 2.8 μB/f.u.


What should be chosen as the least stable of them? Choose version ii.


Version i
VASP calculation (PBE) on crystalline TlGaMo2Se at its relaxed geometry.

a b c (Å): 4.9336 4.9439 4.9336
angles (deg): 90.00 90.00 90.00
Fractional coordinates of all 5 atoms:
Tl (0.5000, 0.5000, 0.5000)
Ga (0.0000, 0.0000, 0.0000)
Mo (0.0000, 0.0000, 0.5000)
Mo (0.5000, 0.0000, 0.0000)
Se (0.0000, 0.5000, 0.0000)

Output
Its space-group type is No. 123. For the magnetic moment, the calculation gives 5.4 μB/f.u.


Version ii
VASP calculation (PBE) on crystalline TlGaMo2Se at its relaxed geometry.

a b c (Å): 4.7504 5.7766 4.7504
angles (deg): 90.00 90.00 90.00
Fractional coordinates of all 5 atoms:
Tl (0.0000, 0.5000, 0.0000)
Ga (0.5000, 0.5000, 0.5000)
Mo (0.0000, 0.0000, 0.5000)
Mo (0.5000, 0.0000, 0.0000)
Se (0.0000, 0.0000, 0.0000)

Output
Its space-group type is No. 123. For the magnetic moment, the calculation gives 4.1 μB/f.u.


What should be chosen as the least stable of them? Choose version i.


Version i
VASP calculation (PBE) on crystalline GaSiMo3 at its relaxed geometry.

a b c (Å): 6.9747 8.5741 5.3535
angles (deg): 80.60 78.41 76.76
Fractional coordinates of all 20 atoms:
Ga (0.1821, 0.9352, 0.1210)
Ga (0.8179, 0.0648, 0.8790)
Ga (0.2531, 0.6310, 0.3624)
Ga (0.7469, 0.3690, 0.6376)
Si (0.7353, 0.4156, 0.1270)
Si (0.7994, 0.8523, 0.6196)
Si (0.2647, 0.5844, 0.8730)
Si (0.2006, 0.1477, 0.3804)
Mo (0.4466, 0.3033, 0.0179)
Mo (0.1676, 0.8760, 0.6501)
Mo (0.5534, 0.6967, 0.9821)
Mo (0.8324, 0.1240, 0.3499)
Mo (0.9105, 0.7562, 0.1649)
Mo (0.5416, 0.9751, 0.2540)
Mo (0.0895, 0.2438, 0.8351)
Mo (0.4584, 0.0249, 0.7460)
Mo (0.4190, 0.3268, 0.5204)
Mo (0.9502, 0.5692, 0.7339)
Mo (0.5810, 0.6732, 0.4796)
Mo (0.0498, 0.4308, 0.2661)

Output
Its space-group type is No. 2. For the magnetic moment, the calculation gives 0.0 μB/f.u.


Version ii
VASP calculation (PBE) on crystalline GaSiMo3 at its relaxed geometry.

a b c (Å): 4.4957 4.4957 4.4957
angles (deg): 90.00 90.00 90.00
Fractional coordinates of all 5 atoms:
Mo (0.0000, 0.5000, 0.0000)
Mo (0.0000, 0.0000, 0.5000)
Mo (0.5000, 0.0000, 0.0000)
Si (0.0000, 0.0000, 0.0000)
Ga (0.5000, 0.5000, 0.5000)

Output
Its space-group type is No. 221. For the magnetic moment, the calculation gives 0.0 μB/f.u.


What should be chosen as the least stable of them? Choose version ii.


Version i
VASP calculation (PBE) on crystalline GaSi2Mo2 at its relaxed geometry.

a b c (Å): 3.4055 3.4055 7.0474
angles (deg): 76.02 76.02 90.00
Fractional coordinates of all 5 atoms:
Mo (0.3940, 0.3940, 0.2120)
Mo (0.6060, 0.6060, 0.7880)
Si (0.7500, 0.2500, 0.5000)
Si (0.2500, 0.7500, 0.5000)
Ga (0.0000, 0.0000, 0.0000)

Output
Its space-group type is No. 139. For the magnetic moment, the calculation gives 0.0 μB/f.u.


Version ii
VASP calculation (PBE) on crystalline GaSi2Mo2 at its relaxed geometry.

a b c (Å): 6.7837 6.7837 3.3235
angles (deg): 90.00 90.00 90.00
Fractional coordinates of all 10 atoms:
Mo (0.3464, 0.8464, 0.0000)
Mo (0.8464, 0.6536, 0.0000)
Mo (0.6536, 0.1536, 0.0000)
Mo (0.1536, 0.3464, 0.0000)
Si (0.1395, 0.6395, 0.5000)
Si (0.6395, 0.8605, 0.5000)
Si (0.8605, 0.3605, 0.5000)
Si (0.3605, 0.1395, 0.5000)
Ga (0.0000, 0.0000, 0.0000)
Ga (0.5000, 0.5000, 0.0000)

Output
Its space-group type is No. 127. For the magnetic moment, the calculation gives 0.0 μB/f.u.


What should be chosen as the least stable of them? Choose version i.


Version i
VASP calculation (PBE) on crystalline SrGa3Mo at its relaxed geometry.

a b c (Å): 5.3542 5.3542 5.3542
angles (deg): 90.00 90.00 90.00
Fractional coordinates of all 5 atoms:
Sr (0.0000, 0.0000, 0.0000)
Mo (0.5000, 0.5000, 0.5000)
Ga (0.0000, 0.5000, 0.0000)
Ga (0.0000, 0.0000, 0.5000)
Ga (0.5000, 0.0000, 0.0000)

Output
Its space-group type is No. 221. For the magnetic moment, the calculation gives 0.0 μB/f.u.


Version ii
VASP calculation (PBE) on crystalline SrGa3Mo at its relaxed geometry.

a b c (Å): 4.9426 4.9426 4.9426
angles (deg): 90.00 90.00 90.00
Fractional coordinates of all 5 atoms:
Sr (0.5000, 0.5000, 0.5000)
Mo (0.0000, 0.0000, 0.0000)
Ga (0.0000, 0.5000, 0.0000)
Ga (0.0000, 0.0000, 0.5000)
Ga (0.5000, 0.0000, 0.0000)

Output
Its space-group type is No. 221. For the magnetic moment, the calculation gives 0.0 μB/f.u.


What should be chosen as the least stable of them? Choose version i.


Version i
VASP calculation (PBE) on crystalline TaGa2Mo at its relaxed geometry.

a b c (Å): 7.0413 7.0413 5.6962
angles (deg): 51.82 51.82 90.00
Fractional coordinates of all 8 atoms:
Mo (0.5000, 0.5000, 0.0000)
Mo (0.2500, 0.7500, 0.5000)
Ga (0.6178, 0.1250, 0.2500)
Ga (0.1322, 0.6250, 0.2500)
Ga (0.3750, 0.3822, 0.7500)
Ga (0.8750, 0.8678, 0.7500)
Ta (0.0000, 0.0000, 0.0000)
Ta (0.7500, 0.2500, 0.5000)

Output
Its space-group type is No. 122. For the magnetic moment, the calculation gives 0.0 μB/f.u.


Version ii
VASP calculation (PBE) on crystalline TaGa2Mo at its relaxed geometry.

a b c (Å): 4.1398 3.9361 3.9361
angles (deg): 90.00 90.00 90.00
Fractional coordinates of all 4 atoms:
Mo (0.5000, 0.5000, 0.5000)
Ga (0.0000, 0.0000, 0.5000)
Ga (0.0000, 0.5000, 0.0000)
Ta (0.5000, 0.0000, 0.0000)

Output
Its space-group type is No. 123. For the magnetic moment, the calculation gives 0.0 μB/f.u.


Version iii
VASP calculation (PBE) on crystalline TaGa2Mo at its relaxed geometry.

a b c (Å): 4.4772 4.4772 4.4772
angles (deg): 60.00 60.00 60.00
Fractional coordinates of all 4 atoms:
Mo (0.0000, 0.0000, 0.0000)
Ga (0.2500, 0.2500, 0.2500)
Ga (0.7500, 0.7500, 0.7500)
Ta (0.5000, 0.5000, 0.5000)

Output
Its space-group type is No. 225. For the magnetic moment, the calculation gives 0.0 μB/f.u.


What should be chosen as the least stable of them? Choose version i.


Version i
VASP calculation (PBE) on crystalline TaGa2Mo at its relaxed geometry.

a b c (Å): 2.9100 2.9100 9.1243
angles (deg): 80.82 80.82 60.00
Fractional coordinates of all 4 atoms:
Ta (0.5005, 0.5005, 0.4984)
Ga (0.0811, 0.0811, 0.7568)
Ga (0.2521, 0.2521, 0.2437)
Mo (0.6663, 0.6663, 0.0011)

Output
Its space-group type is No. 160. For the magnetic moment, the calculation gives 0.0 μB/f.u.


Version ii
VASP calculation (PBE) on crystalline TaGa2Mo at its relaxed geometry.

a b c (Å): 3.6103 6.2483 6.4950
angles (deg): 99.36 105.83 89.44
Fractional coordinates of all 8 atoms:
Ta (0.7500, 0.2500, 0.0000)
Ta (0.2500, 0.7500, 0.0000)
Ga (0.8797, 0.6266, 0.2594)
Ga (0.3797, 0.1267, 0.2594)
Ga (0.6203, 0.8733, 0.7406)
Ga (0.1203, 0.3734, 0.7406)
Mo (0.0000, 0.0000, 0.5000)
Mo (0.5000, 0.5000, 0.5000)

Output
Its space-group type is No. 2. For the magnetic moment, the calculation gives 0.0 μB/f.u.


What should be chosen as the least stable of them? Choose version ii.


Version i
VASP calculation (PBE) on crystalline TaGa2Mo2 at its relaxed geometry.

a b c (Å): 6.8615 6.8615 3.3657
angles (deg): 90.00 90.00 90.00
Fractional coordinates of all 10 atoms:
Mo (0.1742, 0.6742, 0.5000)
Mo (0.6742, 0.8258, 0.5000)
Mo (0.8258, 0.3258, 0.5000)
Mo (0.3258, 0.1742, 0.5000)
Ga (0.3732, 0.8732, 0.0000)
Ga (0.8732, 0.6268, 0.0000)
Ga (0.6268, 0.1268, 0.0000)
Ga (0.1268, 0.3732, 0.0000)
Ta (0.0000, 0.0000, 0.0000)
Ta (0.5000, 0.5000, 0.0000)

Output
Its space-group type is No. 127. For the magnetic moment, the calculation gives 0.0 μB/f.u.


Version ii
VASP calculation (PBE) on crystalline TaGa2Mo2 at its relaxed geometry.

a b c (Å): 7.4261 7.4261 2.9959
angles (deg): 90.00 90.00 90.00
Fractional coordinates of all 10 atoms:
Mo (0.3804, 0.8804, 0.0000)
Mo (0.8804, 0.6196, 0.0000)
Mo (0.6196, 0.1196, 0.0000)
Mo (0.1196, 0.3804, 0.0000)
Ga (0.1764, 0.6764, 0.5000)
Ga (0.6764, 0.8236, 0.5000)
Ga (0.8236, 0.3236, 0.5000)
Ga (0.3236, 0.1764, 0.5000)
Ta (0.0000, 0.0000, 0.0000)
Ta (0.5000, 0.5000, 0.0000)

Output
Its space-group type is No. 127. For the magnetic moment, the calculation gives 0.0 μB/f.u.


Version iii
VASP calculation (PBE) on crystalline TaGa2Mo2 at its relaxed geometry.

a b c (Å): 3.4818 3.4818 7.4593
angles (deg): 76.50 76.50 90.00
Fractional coordinates of all 5 atoms:
Mo (0.4022, 0.4022, 0.1956)
Mo (0.5978, 0.5978, 0.8044)
Ga (0.7500, 0.2500, 0.5000)
Ga (0.2500, 0.7500, 0.5000)
Ta (0.0000, 0.0000, 0.0000)

Output
Its space-group type is No. 139. For the magnetic moment, the calculation gives 0.0 μB/f.u.


What should be chosen as the least stable of them? Choose version iii.